A relaxed structure of SrPdSN2, computed with PBE.

Values from the calculation:
- Formation energy (no corrections): 1.750 eV/atom
- E above lowest polymorph: 6.65 eV/f.u.
- Total DFT energy (no corrections): -3.780 eV/atom

Cell lengths 4.7518, 4.7518, 5.8594 Å; angles 90.00, 90.00, 90.00 degrees
Space group P4/mmm (No. 123)
Asymmetric unit:
Sr 0.0000 0.0000 0.0000
Pd 0.5000 0.5000 0.5000
S 0.0000 0.0000 0.5000
N 0.0000 0.5000 0.0000

A relaxed structure of TcPdSN2, computed with PBE.

Values from the calculation:
- Formation energy (no corrections): 1.731 eV/atom
- E above lowest polymorph: 5.36 eV/f.u.
- Total DFT energy (no corrections): -5.536 eV/atom

Cell lengths 3.9035, 3.9035, 5.0405 Å; angles 90.00, 90.00, 90.00 degrees
Space group P4/mmm (No. 123)
Asymmetric unit:
Tc 0.0000 0.0000 0.0000
Pd 0.5000 0.5000 0.5000
S 0.5000 0.5000 0.0000
N 0.0000 0.5000 0.5000

A relaxed structure of TcPdSN2, computed with PBE.

Values from the calculation:
- Formation energy (no corrections): 0.660 eV/atom
- E above lowest polymorph: 0.00 eV/f.u.
- Total DFT energy (no corrections): -6.607 eV/atom

Cell lengths 3.7654, 3.7654, 5.1850 Å; angles 90.00, 90.00, 90.00 degrees
Space group P4/mmm (No. 123)
Asymmetric unit:
Tc 0.0000 0.0000 0.0000
Pd 0.5000 0.5000 0.5000
S 0.0000 0.0000 0.5000
N 0.0000 0.5000 0.0000

A relaxed structure of Te2PdSN, computed with PBE.

Values from the calculation:
- Formation energy (no corrections): 0.759 eV/atom
- E above lowest polymorph: 0.00 eV/f.u.
- Total DFT energy (no corrections): -4.027 eV/atom

Cell lengths 5.4055, 5.4055, 3.3053 Å; angles 90.00, 90.00, 90.00 degrees
Space group P4/mmm (No. 123)
Asymmetric unit:
Te 0.0000 0.5000 0.0000
Pd 0.0000 0.0000 0.5000
S 0.5000 0.5000 0.0000
N 0.5000 0.5000 0.5000

A relaxed structure of Te2PdSN, computed with PBE.

Values from the calculation:
- Formation energy (no corrections): 0.872 eV/atom
- E above lowest polymorph: 0.57 eV/f.u.
- Total DFT energy (no corrections): -3.913 eV/atom

Cell lengths 5.4965, 5.4965, 3.6777 Å; angles 90.00, 90.00, 90.00 degrees
Space group P4/mmm (No. 123)
Asymmetric unit:
Te 0.0000 0.5000 0.0000
Pd 0.0000 0.0000 0.0000
S 0.5000 0.5000 0.5000
N 0.0000 0.0000 0.5000

A relaxed structure of TePdS2N, computed with PBE.

Values from the calculation:
- Formation energy (no corrections): 0.827 eV/atom
- E above lowest polymorph: 0.00 eV/f.u.
- Total DFT energy (no corrections): -4.156 eV/atom

Cell lengths 4.9549, 4.9549, 3.7418 Å; angles 90.00, 90.00, 90.00 degrees
Space group P4/mmm (No. 123)
Asymmetric unit:
Te 0.0000 0.0000 0.0000
Pd 0.5000 0.5000 0.5000
S 0.0000 0.5000 0.5000
N 0.5000 0.5000 0.0000